{"formula": "CrCo3O8", "functional": "PBE+U", "state": "relaxed", "lattice_angstrom": [[5.6174, 0.0000, 0.0000], [-2.8087, 4.8648, 0.0000], [0.0000, 0.0000, 8.8952]], "species": ["O", "O", "O", "O", "O", "O", "O", "O", "O", "O", "O", "O", "O", "O", "O", "O", "Cr", "Cr", "Co", "Co", "Co", "Co", "Co", "Co"], "fractional_positions": [[0.0432, 0.5216, 0.3317], [0.3333, 0.6667, 0.1004], [0.8353, 0.1647, 0.1069], [0.1647, 0.8353, 0.6069], [0.5216, 0.4784, 0.8317], [0.6667, 0.3333, 0.6004], [0.6707, 0.8353, 0.6069], [0.8353, 0.6707, 0.1069], [0.0000, 0.0000, 0.3186], [0.1647, 0.3293, 0.6069], [0.0000, 0.0000, 0.8186], [0.3293, 0.1647, 0.1069], [0.4784, 0.9568, 0.3317], [0.5216, 0.0432, 0.8317], [0.4784, 0.5216, 0.3317], [0.9568, 0.4784, 0.8317], [0.6667, 0.3333, 0.9913], [0.3333, 0.6667, 0.4913], [0.1675, 0.3350, 0.2109], [0.1675, 0.8325, 0.2109], [0.8325, 0.6650, 0.7109], [0.3350, 0.1675, 0.7109], [0.8325, 0.1675, 0.7109], [0.6650, 0.8325, 0.2109]], "total_energy_ev_per_atom": -6.0704, "de_polymorph_mev_per_atom": 0.0, "n_ef_per_ev_cell": 8.7, "total_magnetization_mub_per_cell": 2.01}

{"formula": "CrCoO2", "functional": "PBE+U", "state": "relaxed", "lattice_angstrom": [[3.1334, 0.0000, 0.9525], [1.4219, 2.7922, 0.9525], [-0.0952, -0.0583, 5.9431]], "species": ["Cr", "O", "O", "Co"], "fractional_positions": [[0.6256, 0.6256, 0.1233], [0.0042, 0.0042, 0.9875], [0.4958, 0.4958, 0.5126], [0.1245, 0.1245, 0.6266]], "total_energy_ev_per_atom": -6.6888, "de_polymorph_mev_per_atom": 0.0, "n_ef_per_ev_cell": 1.3, "total_magnetization_mub_per_cell": 7.02}